Arrangement P

{
  "formula": "CuPt2Cl",
  "functional": "SCAN",
  "state": "single point on PBEsol structure",
  "lattice_angstrom": [[2.8529, 0.0000, 0.0000], [0.0000, 2.8529, 0.0000], [0.0000, 0.0000, 7.2440]],
  "species": ["Cu", "Pt", "Pt", "Cl"],
  "frac_coords": [[0.0000, 0.0000, 0.0000], [0.5000, 0.5000, 0.2226], [0.5000, 0.5000, 0.7774], [0.0000, 0.0000, 0.5000]],
  "magmom_total_mub_per_fu": 0.000
}

Arrangement Q

{
  "formula": "CuPt2Cl",
  "functional": "SCAN",
  "state": "single point on PBEsol structure",
  "lattice_angstrom": [[2.8102, -3.7338, 0.0000], [2.8102, 3.7338, 0.0000], [0.0000, 0.0000, 2.7806]],
  "species": ["Cu", "Pt", "Pt", "Cl"],
  "frac_coords": [[0.0000, 0.0000, 0.0000], [0.0000, 0.5000, 0.5000], [0.5000, 0.0000, 0.5000], [0.5000, 0.5000, 0.0000]],
  "magmom_total_mub_per_fu": 0.000
}

Ordering by calculated energy gives the sequence arrangement P, arrangement Q, with the first entry being the most stable.

Arrangement P

{
  "formula": "CuRe2Cl",
  "functional": "SCAN",
  "state": "single point on PBEsol structure",
  "lattice_angstrom": [[2.7006, 0.0000, 0.0000], [0.0000, 4.5309, 0.0000], [0.0000, 0.0000, 4.7444]],
  "species": ["Cu", "Re", "Re", "Cl"],
  "frac_coords": [[0.0000, 0.0000, 0.0000], [0.0000, 0.5000, 0.5000], [0.5000, 0.5000, 0.0000], [0.5000, 0.0000, 0.5000]],
  "magmom_total_mub_per_fu": 0.000
}

Arrangement Q

{
  "formula": "CuRe2Cl",
  "functional": "SCAN",
  "state": "single point on PBEsol structure",
  "lattice_angstrom": [[2.9692, 0.0000, 0.0000], [0.0000, 4.4202, 0.0000], [-0.5230, 0.0000, 4.6574]],
  "species": ["Cu", "Re", "Re", "Cl"],
  "frac_coords": [[0.0000, 0.0000, 0.0000], [0.3208, 0.5000, 0.2129], [0.6792, 0.5000, 0.7871], [0.5000, 0.0000, 0.5000]],
  "magmom_total_mub_per_fu": 0.000
}

Arrangement R

{
  "formula": "CuRe2Cl",
  "functional": "SCAN",
  "state": "single point on PBEsol structure",
  "lattice_angstrom": [[4.3150, 0.0000, 0.0000], [0.0000, 4.3150, 0.0000], [0.0000, 0.0000, 2.8601]],
  "species": ["Cu", "Re", "Re", "Cl"],
  "frac_coords": [[0.0000, 0.0000, 0.0000], [0.0000, 0.5000, 0.5000], [0.5000, 0.0000, 0.5000], [0.5000, 0.5000, 0.0000]],
  "magmom_total_mub_per_fu": 0.000
}

Ordering by calculated energy gives the sequence arrangement Q, arrangement P, arrangement R, with the first entry being the most stable.

Arrangement P

{
  "formula": "CuReCl2",
  "functional": "SCAN",
  "state": "single point on PBEsol structure",
  "lattice_angstrom": [[-1.4181, 2.2096, 6.2928], [1.4181, -2.2096, 6.2928], [1.4181, 2.2096, -6.2928]],
  "species": ["Cu", "Re", "Cl", "Cl"],
  "frac_coords": [[0.0000, 0.0000, 0.0000], [0.5000, 0.5000, 0.0000], [0.3478, 0.8478, 0.5000], [0.6522, 0.1522, 0.5000]],
  "magmom_total_mub_per_fu": 1.019
}

Arrangement Q

{
  "formula": "CuReCl2",
  "functional": "SCAN",
  "state": "single point on PBEsol structure",
  "lattice_angstrom": [[-2.1339, 2.1339, 3.0824], [2.1339, -2.1339, 3.0824], [2.1339, 2.1339, -3.0824]],
  "species": ["Cu", "Re", "Cl", "Cl"],
  "frac_coords": [[0.0000, 0.0000, 0.0000], [0.5000, 0.5000, 0.0000], [0.2500, 0.7500, 0.5000], [0.7500, 0.2500, 0.5000]],
  "magmom_total_mub_per_fu": 0.000
}

Arrangement R

{
  "formula": "CuReCl2",
  "functional": "SCAN",
  "state": "single point on PBEsol structure",
  "lattice_angstrom": [[-1.4091, 2.1369, 5.5443], [1.4091, -2.1369, 5.5443], [1.4091, 2.1369, -5.5443]],
  "species": ["Cu", "Re", "Cl", "Cl"],
  "frac_coords": [[0.0000, 0.0000, 0.0000], [0.1932, 0.6932, 0.5000], [0.3778, 0.3778, 0.0000], [0.6768, 0.1768, 0.5000]],
  "magmom_total_mub_per_fu": 0.000
}

Ordering by calculated energy gives the sequence arrangement P, arrangement R, arrangement Q, with the first entry being the most stable.

Arrangement P

{
  "formula": "Cu2RhCl",
  "functional": "SCAN",
  "state": "single point on PBEsol structure",
  "lattice_angstrom": [[3.9695, -1.4312, 0.0000], [3.9695, 1.4312, 0.0000], [-0.9115, 0.0000, 5.7749]],
  "species": ["Cu", "Cu", "Rh", "Cl"],
  "frac_coords": [[0.0000, 0.0000, 0.0000], [0.7434, 0.7434, 0.1773], [0.2584, 0.2584, 0.8196], [0.6507, 0.6507, 0.5166]],
  "magmom_total_mub_per_fu": 0.000
}

Arrangement Q

{
  "formula": "Cu2RhCl",
  "functional": "SCAN",
  "state": "single point on PBEsol structure",
  "lattice_angstrom": [[3.0339, 0.0000, 0.0000], [0.0000, 2.9360, 0.0000], [-0.0088, 0.0000, 6.4692]],
  "species": ["Cu", "Cu", "Rh", "Cl"],
  "frac_coords": [[0.0000, 0.0000, 0.0000], [0.4992, 0.5000, 0.8027], [0.9986, 0.0000, 0.5902], [0.9997, 0.5000, 0.2933]],
  "magmom_total_mub_per_fu": 0.001
}

Ordering by calculated energy gives the sequence arrangement Q, arrangement P, with the first entry being the most stable.